# 1
Compound: La2CdMo
Source: Alexandria
Functional: PBE
Structure: relaxed

Unit cell a=5.0529 b=3.7095 c=5.9488 alpha=76.40 beta=90.00 gamma=90.00
Fractional coordinates of all 4 atoms:
Cd (0.5000, 0.5930, 0.7884)
La (0.0000, 0.0031, 0.9769)
La (0.5000, 0.2783, 0.3514)
Mo (0.0000, 0.6256, 0.3833)

Calculated values
DFT total energy, eV for the cell shown: -20.65
Formation energy from the elements, eV/atom: 0.238
V, Å³ per atom: 27.09



# 2
Compound: La2CdMo
Source: Alexandria
Functional: PBE
Structure: relaxed

Unit cell a=6.3085 b=6.3085 c=6.3085 alpha=146.04 beta=130.22 gamma=61.63
Fractional coordinates of all 4 atoms:
Cd (0.2918, 0.7918, 0.5000)
La (0.0071, 0.0071, 0.0000)
La (0.7082, 0.2082, 0.5000)
Mo (0.4929, 0.4929, 0.0000)

Calculated values
DFT total energy, eV for the cell shown: -20.58
Formation energy from the elements, eV/atom: 0.255
V, Å³ per atom: 26.50



# 3
Compound: LaCd2Mo
Source: Alexandria
Functional: PBE
Structure: relaxed

Unit cell a=5.2237 b=3.1642 c=5.6905 alpha=72.70 beta=90.00 gamma=90.00
Fractional coordinates of all 4 atoms:
Cd (0.0000, 0.9071, 0.9740)
Cd (0.0000, 0.5929, 0.5260)
La (0.5000, 0.2500, 0.2500)
Mo (0.5000, 0.7500, 0.7500)

Calculated values
DFT total energy, eV for the cell shown: -16.55
Formation energy from the elements, eV/atom: 0.260
V, Å³ per atom: 22.45
Energy above the lowest structure with this stoichiometry, eV per formula unit: 0.08



# 4
Compound: LaCdMo2
Source: Alexandria
Functional: PBE
Structure: relaxed

Unit cell a=2.8180 b=4.6126 c=6.6006 alpha=90.00 beta=90.00 gamma=90.00
Each line ends with the local moment (μB).
Fractional coordinates of all 4 atoms:
Cd (0.5000, 0.5000, 0.2500)  0.00
La (0.5000, 0.5000, 0.7500)  0.07
Mo (0.0000, 0.0000, 0.0603)  0.00
Mo (0.0000, 0.0000, 0.4397)  0.00

Calculated values
DFT total energy, eV for the cell shown: -24.96
Formation energy from the elements, eV/atom: 0.637
V, Å³ per atom: 21.45



# 5
Compound: LaCd2Mo
Source: Alexandria
Functional: PBE
Structure: relaxed

Unit cell a=5.1668 b=5.1668 c=5.1668 alpha=60.00 beta=60.00 gamma=60.00
Each line ends with the local moment (μB).
Fractional coordinates of all 4 atoms:
Cd (0.0000, 0.0000, 0.0000)  0.01
Cd (0.2500, 0.2500, 0.2500)  0.01
La (0.5000, 0.5000, 0.5000)  0.22
Mo (0.7500, 0.7500, 0.7500)  2.64

Calculated values
DFT total energy, eV for the cell shown: -15.68
Formation energy from the elements, eV/atom: 0.476
V, Å³ per atom: 24.38
Energy above the lowest structure with this stoichiometry, eV per formula unit: 0.94



# 6
Compound: LaCdMo2
Source: Alexandria
Functional: PBE
Structure: relaxed

Unit cell a=3.2833 b=3.2768 c=8.6461 alpha=68.17 beta=90.00 gamma=90.00
Fractional coordinates of all 4 atoms:
Cd (0.0000, 0.5493, 0.4511)
La (0.5000, 0.7267, 0.7778)
Mo (0.0000, 0.9436, 0.0567)
Mo (0.5000, 0.2804, 0.2144)

Calculated values
DFT total energy, eV for the cell shown: -26.79
Formation energy from the elements, eV/atom: 0.178
V, Å³ per atom: 21.59



# 7
Compound: LaCd2Mo
Source: Alexandria
Functional: PBE
Structure: relaxed

Unit cell a=6.1034 b=6.1034 c=6.1034 alpha=149.13 beta=126.09 gamma=63.42
Each line ends with the local moment (μB).
Fractional coordinates of all 4 atoms:
Cd (0.0182, 0.0182, 0.0000)  0.00
Cd (0.7643, 0.2643, 0.5000)  -0.01
La (0.4741, 0.4741, 0.0000)  0.07
Mo (0.2434, 0.7434, 0.5000)  0.76

Calculated values
DFT total energy, eV for the cell shown: -16.09
Formation energy from the elements, eV/atom: 0.375
V, Å³ per atom: 23.34
Energy above the lowest structure with this stoichiometry, eV per formula unit: 0.54



# 8
Compound: LaCdMo2
Source: Alexandria
Functional: PBE
Structure: relaxed

Unit cell a=3.6805 b=3.6805 c=6.7926 alpha=90.00 beta=90.00 gamma=90.00
Fractional coordinates of all 4 atoms:
Cd (0.5000, 0.5000, 0.2500)
La (0.5000, 0.5000, 0.7500)
Mo (0.0000, 0.0000, 0.0815)
Mo (0.0000, 0.0000, 0.4185)

Calculated values
DFT total energy, eV for the cell shown: -25.20
Formation energy from the elements, eV/atom: 0.576
V, Å³ per atom: 23.00